[1]
Compound: InSb2Pd
Source: Alexandria via LeMat-Bulk
Functional: PBE
Structure: optimized geometry

Summary:
M_tot = 0.0 μB per cell
Formation energy (no corrections) = -0.184 eV per atom

a = 4.335 Å, b = 4.335 Å, c = 6.895 Å
α = 71.68°, β = 71.68°, γ = 60.00°
Positions (direct):
Pd (0.663, 0.663, 0.010)
Sb (0.274, 0.274, 0.179)
Sb (0.061, 0.061, 0.818)
In (0.502, 0.502, 0.493)



[2]
Compound: ZrCdTcHg2
Source: Alexandria via LeMat-Bulk
Functional: PBE
Structure: optimized geometry

Summary:
M_tot = 0.0 μB per cell
Formation energy from the elements = 552.5 meV per atom

a = 5.339 Å, b = 4.760 Å, c = 5.339 Å
α = 90.00°, β = 90.00°, γ = 90.00°
Positions (direct):
Zr (0.000, 0.500, 0.000)
Hg (0.500, 0.000, 0.000)
Tc (0.000, 0.000, 0.000)
Cd (0.500, 0.500, 0.500)
Hg (0.000, 0.000, 0.500)



[3]
Compound: ScSn3Sb
Source: Alexandria via LeMat-Bulk
Functional: PBE
Structure: optimized geometry

Summary:
M_tot = 0.4 μB per cell
Formation energy (no corrections) = 0.726 eV per atom

a = 5.641 Å, b = 5.641 Å, c = 5.641 Å
α = 90.00°, β = 90.00°, γ = 90.00°
Positions (direct):
Sc (0.500, 0.500, 0.500)
Sn (0.500, 0.000, 0.000)
Sn (0.000, 0.000, 0.500)
Sb (0.000, 0.000, 0.000)
Sn (0.000, 0.500, 0.000)